No. 1
Below is crystalline Si2RhBr at its relaxed geometry, with properties calculated at the PBE-GGA level.

a b c (Å): 6.0040 6.0040 6.0040
angles (deg): 151.92 136.17 52.87
Fractional coordinates of all 4 atoms:
Si (0.2001, 0.2001, 0.0000)
Si (0.7999, 0.7999, 0.0000)
Rh (0.0000, 0.5000, 0.5000)
Br (0.5000, 0.0000, 0.5000)

Summary:
* E above lowest polymorph: 1.49 eV/f.u.
* total magnetic moment: 0.0 μB per formula unit
* space group: Immm (71)
* energy relative to the elements, uncorrected: 0.33 eV/atom
* crystal system: orthorhombic



No. 2
Below is crystalline CeTiCo2 at its relaxed geometry, with properties calculated at the PBE-GGA level.

a b c (Å): 2.9707 2.9707 7.0067
angles (deg): 90.00 90.00 90.00
Fractional coordinates of all 4 atoms:
Ce (0.0000, 0.0000, 0.0000)
Ti (0.0000, 0.0000, 0.5000)
Co (0.5000, 0.5000, 0.3016)
Co (0.5000, 0.5000, 0.6984)

Summary:
* E above lowest polymorph: 0.00 eV/f.u.
* total magnetic moment: 0.3 μB per formula unit
* space group: P4/mmm (123)
* crystal system: tetragonal



No. 3
Below is crystalline HfTaNi2 at its relaxed geometry, with properties calculated at the PBE-GGA level.

a b c (Å): 5.5815 5.5815 5.5815
angles (deg): 103.73 103.73 121.68
Fractional coordinates of all 8 atoms:
Hf (0.0000, 0.0000, 0.0000)
Hf (0.7500, 0.2500, 0.5000)
Ta (0.2500, 0.7500, 0.5000)
Ta (0.5000, 0.5000, 0.0000)
Ni (0.1372, 0.6250, 0.0122)
Ni (0.3750, 0.3872, 0.5122)
Ni (0.6128, 0.1250, 0.9878)
Ni (0.8750, 0.8628, 0.4878)

Summary:
* E above lowest polymorph: 1.85 eV/f.u.
* total magnetic moment: 0.0 μB per formula unit
* space group: I-42d (122)
* crystal system: tetragonal



No. 4
Below is crystalline NaCd9Cu3 at its relaxed geometry, with properties calculated at the PBE-GGA level.

a b c (Å): 7.4952 7.4952 7.4323
angles (deg): 97.55 97.55 137.39
Fractional coordinates of all 13 atoms:
Na (0.0000, 0.0000, 0.0000)
Cd (0.0000, 0.0000, 0.5000)
Cd (0.0100, 0.6584, 0.6680)
Cd (0.2983, 0.5183, 0.7897)
Cd (0.3416, 0.9900, 0.3320)
Cd (0.4817, 0.7017, 0.2103)
Cd (0.5183, 0.2983, 0.7897)
Cd (0.6584, 0.0100, 0.6680)
Cd (0.7017, 0.4817, 0.2103)
Cd (0.9900, 0.3416, 0.3320)
Cu (0.0000, 0.5000, 0.0000)
Cu (0.5000, 0.0000, 0.0000)
Cu (0.5000, 0.5000, 0.5000)

Summary:
* total magnetic moment: 0.0 μB per formula unit
* space group: C2/m (12)
* E_tot: -21.9 eV per formula unit
* crystal system: monoclinic



No. 5
Below is crystalline EuHoCuAu at its relaxed geometry, with properties calculated at the PBE-GGA level.

a b c (Å): 5.0934 5.0934 5.0934
angles (deg): 60.00 60.00 60.00
Fractional coordinates of all 4 atoms:
Eu (0.0000, 0.0000, 0.0000)
Ho (0.5000, 0.5000, 0.5000)
Cu (0.2500, 0.2500, 0.2500)
Au (0.7500, 0.7500, 0.7500)

Summary:
* total magnetic moment: 7.0 μB per formula unit
* space group: F-43m (216)
* E_tot: -24.0 eV per formula unit
* crystal system: cubic



No. 6
Below is crystalline P2RuSe at its relaxed geometry, with properties calculated at the PBE-GGA level.

a b c (Å): 4.4778 4.4778 3.1287
angles (deg): 90.00 90.00 105.17
Fractional coordinates of all 4 atoms:
P (0.0000, 0.5000, 0.0000)
P (0.5000, 0.0000, 0.0000)
Ru (0.0000, 0.0000, 0.5000)
Se (0.5000, 0.5000, 0.5000)

Summary:
* total magnetic moment: 0.0 μB per formula unit
* space group: Cmmm (65)
* energy relative to the elements, uncorrected: 0.55 eV/atom
* crystal system: orthorhombic



No. 7
Below is crystalline Nd5Sm2Sc4 at its relaxed geometry, with properties calculated at the PBE-GGA level.

a b c (Å): 12.4068 12.4068 12.4068
angles (deg): 163.94 138.09 45.16
Fractional coordinates of all 11 atoms:
Nd (0.0000, 0.0000, 0.0000)
Nd (0.0628, 0.3597, 0.7031)
Nd (0.3434, 0.6403, 0.7031)
Nd (0.6566, 0.3597, 0.2969)
Nd (0.9372, 0.6403, 0.2969)
Sm (0.2696, 0.7696, 0.5000)
Sm (0.7304, 0.2304, 0.5000)
Sc (0.3259, 0.5000, 0.8259)
Sc (0.4071, 0.9071, 0.5000)
Sc (0.5929, 0.0929, 0.5000)
Sc (0.6741, 0.5000, 0.1741)

Summary:
* total magnetic moment: 0.0 μB per formula unit
* space group: Immm (71)
* E_tot: -57.0 eV per formula unit
* crystal system: orthorhombic



No. 8
Below is crystalline Pa2AsS2N at its relaxed geometry, with properties calculated at the PBE-GGA level.

a b c (Å): 7.8909 7.8909 7.8909
angles (deg): 127.11 68.42 139.86
Fractional coordinates of all 12 atoms:
Pa (0.1069, 0.1759, 0.2828)
Pa (0.3931, 0.6759, 0.0689)
Pa (0.6069, 0.3241, 0.9311)
Pa (0.8931, 0.8241, 0.7172)
As (0.2500, 0.7500, 0.5000)
As (0.7500, 0.2500, 0.5000)
S (0.1953, 0.8300, 0.0253)
S (0.3047, 0.3300, 0.6347)
S (0.6953, 0.6700, 0.3653)
S (0.8047, 0.1700, 0.9747)
N (0.2500, 0.2500, 0.0000)
N (0.7500, 0.7500, 0.0000)

Summary:
* total magnetic moment: 0.5 μB per formula unit
* space group: Ibam (72)
* energy relative to the elements, uncorrected: -1.50 eV/atom
* crystal system: orthorhombic



No. 9
Below is crystalline K2YRu at its relaxed geometry, with properties calculated at the PBE-GGA level.

a b c (Å): 7.0317 7.0317 7.0317
angles (deg): 144.69 144.69 50.80
Fractional coordinates of all 4 atoms:
K (0.2500, 0.7500, 0.5000)
K (0.7500, 0.2500, 0.5000)
Y (0.0000, 0.0000, 0.0000)
Ru (0.5000, 0.5000, 0.0000)

Summary:
* E above lowest polymorph: 1.92 eV/f.u.
* total magnetic moment: 0.5 μB per formula unit
* space group: I4/mmm (139)
* crystal system: tetragonal



No. 10
Below is crystalline CeGdSnTe at its relaxed geometry, with properties calculated at the PBE-GGA level.

a b c (Å): 5.4321 5.4321 5.4321
angles (deg): 60.00 60.00 60.00
Fractional coordinates of all 4 atoms:
Ce (0.0000, 0.0000, 0.0000)
Gd (0.5000, 0.5000, 0.5000)
Sn (0.7500, 0.7500, 0.7500)
Te (0.2500, 0.2500, 0.2500)

Summary:
* total magnetic moment: 8.0 μB per formula unit
* space group: F-43m (216)
* energy relative to the elements, uncorrected: -0.85 eV/atom
* crystal system: cubic



No. 11
Below is crystalline Cs4HAu2 at its relaxed geometry, with properties calculated at the PBE-GGA level.

a b c (Å): 8.1698 8.1698 10.2332
angles (deg): 124.59 124.59 34.74
Fractional coordinates of all 7 atoms:
Cs (0.0724, 0.0724, 0.3645)
Cs (0.3338, 0.3338, 0.9190)
Cs (0.6662, 0.6662, 0.0810)
Cs (0.9276, 0.9276, 0.6355)
H (0.0000, 0.0000, 0.0000)
Au (0.3910, 0.3910, 0.3366)
Au (0.6090, 0.6090, 0.6634)

Summary:
* E above lowest polymorph: 0.00 eV/f.u.
* total magnetic moment: 0.0 μB per formula unit
* space group: C2/m (12)
* crystal system: monoclinic



No. 12
Below is crystalline YErCSe at its relaxed geometry, with properties calculated at the PBE-GGA level.

a b c (Å): 7.0355 7.0355 7.0355
angles (deg): 30.66 30.66 30.66
Fractional coordinates of all 4 atoms:
Y (0.0000, 0.0000, 0.0000)
Er (0.2006, 0.2006, 0.2006)
C (0.5982, 0.5982, 0.5982)
Se (0.7687, 0.7687, 0.7687)

Summary:
* total magnetic moment: 0.0 μB per formula unit
* space group: R3m (160)
* energy relative to the elements, uncorrected: -1.12 eV/atom
* crystal system: trigonal